{
  "formula": "SiHRuRh",
  "functional": "PBE",
  "state": "relaxed",
  "e_tot_ev_per_atom": -6.388,
  "space_group": "F-43m",
  "magnetic_moment_mub_per_atom": 0.00,
  "cell": [[-2.828, -2.459, 1.397], [1.007, -3.597, 1.431], [-0.252, -0.733, 3.924]],
  "species": ["Si", "Rh", "H", "Ru"],
  "frac_coords": [[0.250, 0.250, 0.250], [0.000, 0.000, 0.000], [0.750, 0.750, 0.750], [0.500, 0.500, 0.500]]
}

***

{
  "formula": "SiHRuRh2",
  "functional": "PBE",
  "state": "relaxed",
  "e_tot_ev_per_atom": -6.739,
  "space_group": "P4/mmm",
  "magnetic_moment_mub_per_atom": 0.00,
  "cell": [[-0.754, 2.706, -2.593], [-2.269, -2.435, -1.881], [-3.058, 1.198, 2.139]],
  "species": ["Si", "Rh", "Rh", "H", "Ru"],
  "frac_coords": [[0.500, 0.500, 0.500], [0.500, 0.000, 0.000], [0.000, 0.500, 0.000], [0.000, 0.000, 0.000], [0.000, 0.000, 0.500]]
}

***

{
  "formula": "Sm2H6RuRh",
  "functional": "PBE",
  "state": "relaxed",
  "e_tot_ev_per_atom": -5.144,
  "space_group": "I4/mmm",
  "magnetic_moment_mub_per_atom": 0.00,
  "cell": [[5.236, 0.010, -0.002], [0.010, 5.237, -0.002], [2.621, 2.622, 3.707]],
  "species": ["Sm", "Sm", "Rh", "H", "H", "H", "H", "H", "H", "Ru"],
  "frac_coords": [[0.750, 0.250, 0.500], [0.250, 0.750, 0.500], [0.000, 0.000, 0.000], [0.254, 0.254, 0.001], [0.746, 0.746, 0.508], [0.747, 0.253, 0.000], [0.746, 0.746, 0.999], [0.253, 0.747, 0.000], [0.254, 0.254, 0.492], [0.500, 0.500, 0.000]]
}

***

{
  "formula": "SnHRuRh2",
  "functional": "PBE",
  "state": "relaxed",
  "e_tot_ev_per_atom": -6.416,
  "space_group": "P4/mmm",
  "magnetic_moment_mub_per_atom": 0.00,
  "cell": [[-0.868, -3.221, -2.164], [3.723, -0.067, -1.393], [1.115, -2.379, 3.094]],
  "species": ["Rh", "Rh", "Sn", "H", "Ru"],
  "frac_coords": [[0.500, 0.000, 0.000], [0.000, 0.500, 0.000], [0.500, 0.500, 0.500], [0.000, 0.000, 0.000], [0.000, 0.000, 0.500]]
}

***

{
  "formula": "SnHRu2Rh",
  "functional": "PBE",
  "state": "relaxed",
  "e_tot_ev_per_atom": -4.479,
  "space_group": "P4/mmm",
  "magnetic_moment_mub_per_atom": 0.80,
  "cell": [[4.958, 0.000, 0.000], [0.000, 4.884, 0.000], [0.000, 0.000, 4.958]],
  "species": ["Ru", "Ru", "H", "Sn", "Rh"],
  "frac_coords": [[0.000, 0.000, 0.500], [0.500, 0.000, 0.000], [0.500, 0.500, 0.500], [0.000, 0.000, 0.000], [0.000, 0.500, 0.000]]
}

***

{
  "formula": "SnHRu2Rh",
  "functional": "PBE",
  "state": "relaxed",
  "e_tot_ev_per_atom": -6.656,
  "space_group": "P4/mmm",
  "magnetic_moment_mub_per_atom": 0.00,
  "cell": [[-2.223, -3.315, -0.194], [0.827, -0.779, 3.831], [-3.228, 2.099, 1.123]],
  "species": ["Ru", "Ru", "Sn", "Rh", "H"],
  "frac_coords": [[0.500, 0.000, 0.000], [0.000, 0.500, 0.000], [0.500, 0.500, 0.500], [0.000, 0.000, 0.500], [0.000, 0.000, 0.000]]
}